Entry 1:
Entry from Alexandria: crystalline CePm2As at its relaxed geometry (PBE).

Geometry as extended XYZ:
```
4
Lattice="4.490 0.000 0.000 0.000 4.788 0.000 0.000 0.000 4.788" Properties=species:S:1:pos:R:3 pbc="T T T"
As 2.245 0.000 0.000
Ce 2.245 2.394 2.394
Pm 0.000 0.000 2.394
Pm 0.000 2.394 0.000
```

Computed properties:
Space-group type: P4/mmm, No. 123
Density of states at the Fermi level, states/eV per cell: 6.01
Calculated total energy, eV for the cell shown: -22.04
Crystal system: tetragonal
Excess energy over the best structure of this formula in the dataset, eV/f.u.: 0.15
DFT formation energy, eV per atom: -0.489
V, Å³ per atom: 25.7

Entry 2:
Entry from Alexandria: crystalline NaIn2NiSn at its relaxed geometry (PBE).

Geometry as extended XYZ:
```
5
Lattice="-2.286 -1.224 4.305 -3.437 -2.616 -2.569 2.885 -4.140 0.355" Properties=species:S:1:pos:R:3 pbc="T T T"
Ni 0.000 0.000 0.000
Na -1.419 -3.990 1.046
Sn 1.442 -2.070 0.178
In -1.719 -1.308 -1.284
In -1.143 -0.612 2.152
```

Computed properties:
Space-group type: P4/mmm, No. 123
Density of states at the Fermi level, states/eV per cell: 2.73
Calculated total energy, eV for the cell shown: -16.87
Crystal system: tetragonal
DFT formation energy, eV per atom: -0.057
V, Å³ per atom: 25.6

Entry 3:
Entry from Alexandria: crystalline ScMn2Pd2 at its relaxed geometry (PBE).

Geometry as extended XYZ:
```
10
Lattice="-5.870 -4.491 -0.054 0.709 -1.014 7.287 -1.652 2.154 0.460" Properties=species:S:1:pos:R:3 pbc="T T T"
Sc 0.000 0.000 0.000
Sc -2.581 -2.753 3.617
Mn -1.741 -2.742 6.580
Mn -4.898 -4.672 4.279
Mn -3.420 -2.763 0.653
Mn -0.264 -0.834 2.954
Pd -1.482 -0.508 5.289
Pd -4.340 -2.863 6.054
Pd -5.332 -2.844 2.404
Pd -2.474 -0.488 1.640
```

Computed properties:
Space-group type: P4/mbm, No. 127
Density of states at the Fermi level, states/eV per cell: 11.61
Calculated total energy, eV for the cell shown: -70.00
Crystal system: tetragonal
Excess energy over the best structure of this formula in the dataset, eV/f.u.: 0.31
DFT formation energy, eV per atom: 0.011
V, Å³ per atom: 15.0

Entry 4:
Entry from Alexandria: crystalline Tb5Sm4Mg at its relaxed geometry (PBE).

Geometry as extended XYZ:
```
10
Lattice="-1.013 -3.928 0.861 2.685 0.000 3.160 -13.406 5.952 11.389" Properties=species:S:1:pos:R:3 pbc="T T T"
Tb -0.421 -1.406 3.078
Tb -3.155 -0.192 5.401
Tb -5.867 1.012 7.705
Tb -8.579 2.216 10.009
Tb -11.313 3.430 12.332
Sm -2.706 1.201 2.299
Sm -5.356 2.378 4.550
Sm -8.051 3.574 6.839
Sm -10.700 4.751 9.090
Mg 0.000 0.000 0.000
```

Computed properties:
Space-group type: P4/mmm, No. 123
Density of states at the Fermi level, states/eV per cell: 18.79
Calculated total energy, eV for the cell shown: -42.65
Crystal system: tetragonal
Excess energy over the best structure of this formula in the dataset, eV/f.u.: 0.00
DFT formation energy, eV per atom: 0.097
V, Å³ per atom: 31.9

Entry 5:
Entry from Alexandria: crystalline Ta2CoTc at its relaxed geometry (PBE).

Geometry as extended XYZ:
```
4
Lattice="-0.072 4.953 -0.158 -2.957 3.774 -1.258 -2.187 2.203 3.375" Properties=species:S:1:pos:R:3 pbc="T T T"
Co -1.304 2.733 0.490
Ta -3.024 8.693 -1.390
Ta -2.613 5.500 0.955
Tc -3.912 8.198 1.470
```

Computed properties:
Space-group type: Immm, No. 71
Density of states at the Fermi level, states/eV per cell: 4.05
Calculated total energy, eV for the cell shown: -41.41
Crystal system: orthorhombic
Excess energy over the best structure of this formula in the dataset, eV/f.u.: 0.88
DFT formation energy, eV per atom: -0.057
V, Å³ per atom: 15.4

Entry 6:
Entry from Alexandria: crystalline LiHfAl at its relaxed geometry (PBE).

Geometry as extended XYZ:
```
6
Lattice="-1.558 -3.877 2.745 2.421 -1.548 0.758 -0.575 5.004 6.282" Properties=species:S:1:pos:R:3 pbc="T T T"
Hf -0.203 3.781 5.476
Hf 0.491 -4.201 4.310
Al 0.431 -2.712 1.752
Al 0.923 1.728 3.520
Li 0.747 -1.104 4.065
Li -0.460 0.684 5.720
```

Computed properties:
Space-group type: P-1, No. 2
Density of states at the Fermi level, states/eV per cell: 1.78
Calculated total energy, eV for the cell shown: -31.51
Crystal system: triclinic
Excess energy over the best structure of this formula in the dataset, eV/f.u.: 0.38
DFT formation energy, eV per atom: -0.049
V, Å³ per atom: 18.8